Entry 1:
Below is crystalline ReI4 at its relaxed geometry, with properties calculated at the PBE level.

a b c (Å): 7.861 8.034 8.319
angles (deg): 75.09 63.65 85.18
Fractional coordinates of all 10 atoms:
Re: 0.012 0.044 0.114
Re: 0.988 0.956 0.886
I: 0.105 0.228 0.578
I: 0.203 0.343 0.950
I: 0.310 0.812 0.720
I: 0.325 0.898 0.144
I: 0.675 0.102 0.856
I: 0.690 0.188 0.280
I: 0.797 0.657 0.050
I: 0.895 0.772 0.422

Computed properties:
ΔE_f (raw) in kJ per mole of atoms: 5

Entry 2:
Below is crystalline ReSiAs2 at its relaxed geometry, with properties calculated at the PBE level.

a b c (Å): 3.096 3.096 7.390
angles (deg): 90.00 90.00 90.00
Fractional coordinates of all 4 atoms:
Re: 0.000 0.000 0.000
Si: 0.500 0.500 0.173
As: 0.000 0.000 0.371
As: 0.500 0.500 0.780

Computed properties:
ΔE_f (raw) in kJ per mole of atoms: 6

Entry 3:
Below is crystalline Ca2MgGa4Pt3 at its relaxed geometry, with properties calculated at the PBE level.

a b c (Å): 4.131 4.131 11.498
angles (deg): 90.00 90.00 90.00
Fractional coordinates of all 10 atoms:
Ca: 0.000 0.500 0.241
Ca: 0.500 0.000 0.759
Mg: 0.000 0.000 0.500
Ga: 0.000 0.000 0.000
Ga: 0.000 0.500 0.647
Ga: 0.500 0.000 0.353
Ga: 0.500 0.500 0.000
Pt: 0.000 0.500 0.866
Pt: 0.500 0.000 0.134
Pt: 0.500 0.500 0.500

Computed properties:
DFT total energy in eV/atom: -4.347

Entry 4:
Below is crystalline NaSbTe2 at its relaxed geometry, with properties calculated at the PBE level.

a b c (Å): 8.037 8.037 8.037
angles (deg): 32.01 32.01 32.01
Fractional coordinates of all 4 atoms:
Na: 0.000 0.000 0.000
Sb: 0.500 0.500 0.500
Te: 0.244 0.244 0.244
Te: 0.756 0.756 0.756

Computed properties:
ΔE_f (raw) in kJ per mole of atoms: -44

Entry 5:
Below is crystalline ScMn2Se at its relaxed geometry, with properties calculated at the PBE level.

a b c (Å): 8.332 8.332 8.332
angles (deg): 22.28 22.28 22.28
Fractional coordinates of all 4 atoms:
Sc: 0.000 0.000 0.000
Mn: 0.240 0.240 0.240
Mn: 0.760 0.760 0.760
Se: 0.500 0.500 0.500

Computed properties:
ΔE_f (raw) in kJ per mole of atoms: 11

Entry 6:
Below is crystalline BaCrGe2Se8 at its relaxed geometry, with properties calculated at the PBE level.

a b c (Å): 6.148 6.148 9.448
angles (deg): 90.00 90.00 120.00
Fractional coordinates of all 12 atoms:
Ba: 0.000 0.000 0.000
Cr: 0.000 0.000 0.500
Ge: 0.333 0.667 0.730
Ge: 0.667 0.333 0.270
Se: 0.051 0.718 0.331
Se: 0.282 0.334 0.331
Se: 0.333 0.667 0.980
Se: 0.334 0.051 0.669
Se: 0.666 0.949 0.331
Se: 0.667 0.333 0.020
Se: 0.718 0.666 0.669
Se: 0.949 0.282 0.669

Computed properties:
ΔE_f (raw) in kJ per mole of atoms: -45